68
Lattice="-0.4941 -0.8126 -8.0713 -1.2276 -7.9857 0.8791 -15.1865 2.4101 0.6870" Properties=species:S:1:pos:R:3 comment="Ho15C19 PBE relaxed" n_ef_per_ev_cell=12.82 e_tot_ev_per_atom=-7.504 pbc="T T T"
Ho -0.4500 -1.9504 -3.1053
C -1.2520 -7.4175 -1.6543
Ho -8.4541 -3.1941 -3.2526
C -7.5932 1.2051 0.3435
C -11.7481 0.3142 -2.1640
Ho -13.4759 -2.3971 -3.0254
Ho -14.2305 -4.3978 -6.0665
C -6.4479 -6.9884 -4.6078
Ho -13.3806 0.6833 -5.1044
Ho -5.8734 -1.3632 -4.3979
Ho -11.0347 -5.0249 -2.1073
Ho -10.4331 -0.6396 -4.1917
C -3.0404 -1.4908 -2.9652
C -3.8790 -6.4826 -3.9919
Ho -0.8284 -4.9017 -1.1158
C -11.6456 -6.1635 -4.3727
Ho -5.0219 0.7970 0.2272
Ho -3.4322 -3.9910 -3.4798
Ho -0.8933 -3.8965 -6.0764
Ho -14.1544 -5.3850 -0.9201
C -10.9287 -2.8013 -3.1407
C -12.7119 2.0174 0.5751
C -4.6436 -2.8695 -6.3701
Ho -10.4728 -1.8174 -0.9390
Ho -2.6776 -1.9903 -0.4387
C -13.4174 -2.9267 -0.4984
C -5.9795 -3.5868 -3.3646
Ho -13.3045 -0.3038 0.0420
C -8.7288 -4.2543 -5.6067
Ho -5.9132 -2.5410 -1.1452
C -12.7533 -5.4973 -3.9977
C -11.0101 -1.5340 -6.5646
C -8.1793 -2.1339 -0.8985
C -1.2996 -6.2976 -6.6355
C -3.4907 -3.4614 -6.0068
C -10.4602 0.6003 -1.8974
C -13.0291 0.0945 -2.5133
Ho -2.7538 -1.0031 -5.5852
C -8.7754 -5.5290 -2.1635
C -11.0958 -4.0292 0.2945
C -13.4795 -1.8762 -5.5549
Ho 0.0000 0.0000 0.0000
C -2.4746 0.3927 0.1119
Ho -9.0537 -6.6077 -4.5322
C -8.1328 -0.8591 -4.3417
C -5.8124 -2.3589 -6.7998
C -4.1548 -0.8908 -2.5075
Ho -7.8544 0.2196 -1.9730
Ho -10.1646 1.6131 0.4598
Ho -8.5021 -4.4834 0.2094
C -5.2625 -0.2246 -2.1325
Ho -1.2716 -6.8478 -4.0869
Ho -3.5275 -7.0715 -1.4008
C -3.4287 -4.5119 -0.9503
Ho -8.4061 -1.9048 -6.7146
C -5.8980 -4.8541 0.0594
C -12.2368 -1.6645 -6.0266
C -12.2646 -3.5186 -0.1352
C -4.6713 -4.7237 -0.4787
C -0.4220 -2.5006 -0.5568
Ho -10.9949 -3.8471 -5.3600
C -13.8678 -4.8974 -3.5401
C -0.4697 -1.3807 -5.5380
C -5.1601 -6.7024 -4.3412
Ho -6.4353 -4.5707 -5.5663
Ho -3.6037 -6.0843 -6.5472
Ho -6.4751 -5.7485 -2.3136
C -0.8608 -4.3991 -3.5961

5
Lattice="-3.1324 0.2982 -1.7510 2.8566 -1.4402 -1.6529 -2.4672 -8.3305 2.9948" Properties=species:S:1:pos:R:3 comment="Ho3C2 PBE relaxed" n_ef_per_ev_cell=1.67 polymorph_energy_kcal_per_mol_atoms=0.00 pbc="T T T"
Ho 0.0000 0.0000 0.0000
C -1.1810 -7.7531 0.7921
C -1.5620 -1.7194 -1.2013
Ho 0.1288 -3.3305 -0.7978
Ho -2.8718 -6.1420 0.3886

14
Lattice="6.3998 0.0000 -2.2627 -3.1999 5.5424 -2.2627 0.0000 0.0000 6.7880" Properties=species:S:1:pos:R:3 comment="Ho4C3 PBE relaxed" n_ef_per_ev_cell=0.07 e_tot_ev_per_atom=-6.830 pbc="T T T"
C 1.5999 4.1568 2.8283
C -0.4000 2.0784 0.5657
Ho 1.0253 2.7712 -2.0595
Ho 3.4872 0.4977 -0.9282
Ho 1.8873 2.2735 1.3345
C 4.7998 1.3856 1.6970
Ho 0.2873 5.0447 0.2032
Ho 4.2252 2.7712 -3.1908
Ho -1.3126 3.2688 2.4658
C 1.9999 0.6928 3.9596
Ho 0.0000 0.0000 6.1785
Ho 0.0000 0.0000 2.7845
C -1.2000 4.8496 -1.6970
C 2.7999 3.4640 -0.5657

5
Lattice="4.4912 0.0000 0.0000 0.0000 4.4912 0.0000 0.0000 0.0000 4.4912" Properties=species:S:1:pos:R:3 comment="HoC4 PBE relaxed" n_ef_per_ev_cell=2.89 e_tot_ev_per_atom=-4.206 pbc="T T T"
C 0.0000 0.0000 0.0000
C 2.2456 2.2456 0.0000
C 2.2456 0.0000 2.2456
Ho 2.2456 2.2456 2.2456
C 0.0000 2.2456 2.2456

20
Lattice="9.1420 -0.2329 -2.8080 -3.7361 8.3470 -2.8080 -0.1552 -0.2329 9.5623" Properties=species:S:1:pos:R:3 comment="Ho7CI12 PBE relaxed" n_ef_per_ev_cell=10.73 e_form_raw_mev_per_atom=-1183 pbc="T T T"
I 7.1537 2.1859 3.9470
I 3.6379 1.0635 1.9645
I -0.1349 3.0846 2.9481
I 3.5861 7.4437 -1.8065
Ho 4.5318 7.7035 1.5888
I 5.3857 4.7966 0.9982
I 1.6647 0.4374 5.7529
Ho 6.0360 5.5384 3.9113
I -1.9030 5.6953 -0.0006
Ho 2.2332 0.7320 -0.7640
Ho -0.7852 2.3428 0.0351
Ho 0.7190 0.1777 2.3575
I 1.7704 3.7668 -0.9494
Ho 2.6254 3.9406 1.9732
I 5.4600 1.7047 -1.8278
Ho 3.0176 7.1492 4.7104
I 3.4804 4.1144 4.8957
C 0.0000 0.0000 0.0000
I 1.6129 6.8176 1.9818
I -0.2092 6.1765 5.7741

12
Lattice="4.0043 0.0000 0.0000 2.0022 9.4363 1.9093 2.0022 3.5591 11.7277" Properties=species:S:1:pos:R:3 comment="Ho2CI3 PBE relaxed" n_ef_per_ev_cell=5.23 e_form_raw_mev_per_atom=-1000 pbc="T T T"
I 6.0065 9.6932 8.8531
I 4.0043 6.6333 11.2440
Ho 4.0043 8.8079 6.6595
Ho 2.0022 6.4091 4.6996
I 6.0064 9.5462 4.4496
I 2.0021 3.3022 4.7839
Ho 4.0043 4.1875 6.9775
C 4.0043 6.4401 7.5080
I 4.0043 6.3621 2.3930
C 4.0043 6.5553 6.1291
I 2.0022 3.4492 9.1874
Ho 6.0065 6.5863 8.9374

5
Lattice="-3.8095 -0.5532 -0.1412 -1.6393 -1.2961 -3.2365 -0.3537 -11.7115 2.8859" Properties=species:S:1:pos:R:3 comment="Ho2CI2 PBE relaxed" e_form_raw_mev_per_atom=-971 pbc="T T T"
I -3.2459 -3.8609 -2.3865
Ho -3.1524 -5.2158 0.4008
Ho -2.6500 -8.3450 -0.8925
C -0.9965 -6.5038 -0.1753
I -2.5566 -9.6999 1.8947

7
Lattice="3.6327 0.0000 0.5279 1.7780 3.1678 0.5279 -0.1432 -0.0839 13.7496" Properties=species:S:1:pos:R:3 comment="Ho4C2I PBE relaxed" n_ef_per_ev_cell=4.58 e_form_raw_mev_per_atom=-532 pbc="T T T"
Ho 0.5872 0.3438 8.7231
Ho 3.8217 2.2375 11.9909
I 0.0000 0.0000 0.0000
C 2.1897 1.2820 10.4587
Ho 4.6803 2.7402 6.0822
Ho 1.4457 0.8464 2.8145
C 3.0778 1.8020 4.3466

14
Lattice="6.4105 0.0000 2.0601 2.8742 5.7301 2.0601 -0.2968 -0.1832 11.9275" Properties=species:S:1:pos:R:3 comment="Ho3CI3 PBE relaxed" n_ef_per_ev_cell=6.86 e_form_raw_mev_per_atom=-955 pbc="T T T"
I 1.6812 2.3316 9.3720
I 3.9334 5.0895 5.9634
C 6.1898 3.8200 2.7469
Ho 3.7330 3.4441 3.3044
Ho 6.6035 5.4832 4.6313
Ho 7.0335 1.7925 4.0375
I 4.7720 4.3130 10.7582
I 5.0546 0.4574 10.0844
Ho 5.2550 2.1028 12.7434
Ho 2.3845 0.0637 11.4165
Ho 1.9544 3.7544 12.0102
I 7.3067 3.2152 6.6757
I 4.2160 1.2339 5.2895
C 2.7982 1.7269 13.3008

7
Lattice="3.6471 0.0579 -0.0175 -1.7143 6.0249 -0.1160 -0.0617 -1.0938 7.9964" Properties=species:S:1:pos:R:3 comment="Ho3C2I2 PBE relaxed" n_ef_per_ev_cell=5.13 e_form_raw_mev_per_atom=-517 pbc="T T T"
Ho -0.0348 1.8588 6.4691
I 0.1001 1.0241 2.9563
C 0.0892 4.3452 0.3577
C 1.7819 0.6437 7.5051
Ho 0.0000 0.0000 0.0000
I 1.7710 3.9648 4.9066
Ho 1.9059 3.1302 1.3937

11
Lattice="-5.8277 1.7658 4.7874 -0.8719 -8.1869 1.9583 5.2046 4.9027 4.5272" Properties=species:S:1:pos:R:3 comment="Ho3CI7 PBE relaxed" n_ef_per_ev_cell=5.22 e_form_raw_mev_per_atom=-900 pbc="T T T"
I 3.7165 -1.3763 5.1279
I -3.0186 -5.0403 4.9858
I -4.6558 -2.0634 7.5869
C -0.7765 1.7380 6.9204
Ho -1.8005 3.6569 6.0196
I 1.5303 0.2808 1.8554
I -2.5840 -0.9595 4.0096
I 4.1564 2.7547 4.1397
Ho -2.2043 -0.1338 6.9264
Ho 0.2056 2.1363 9.0226
I -0.4243 -2.5965 7.2424

7
Lattice="4.5563 0.0000 0.0000 0.0000 4.5563 0.0000 -2.2781 -2.2781 9.7128" Properties=species:S:1:pos:R:3 comment="La2HoC2I2 PBE relaxed" n_ef_per_ev_cell=1.75 e_form_raw_mev_per_atom=-610 pbc="T T T"
C 2.2781 0.0000 0.0000
C 0.0000 2.2781 0.0000
La 2.2781 2.2781 1.5974
Ho 0.0000 0.0000 0.0000
I 2.2781 2.2781 6.4728
I 0.0000 0.0000 3.2400
La 0.0000 0.0000 8.1155

no.,mass density (g cm⁻³),M_tot (μB per formula unit)
1,8.83,0.00
2,8.35,0.00
3,9.60,0.00
4,3.90,0.61
5,6.30,1.31
6,5.77,0.09
7,6.48,0.00
8,8.49,0.00
9,6.65,0.00
10,7.29,0.02
11,4.82,2.04
12,5.93,0.00